Entry 1:
Material: AcBi2Pt2Au
Method: DFT, PBE-GGA
State: optimized geometry

Computed properties:
The value obtained for the formation energy is -237.2 meV/atom. For the total energy, the calculation gives -28.65 eV/f.u. The symmetry is I4/mmm, No. 139.

abc: 5.151 5.151 8.389
angles: 107.88 107.88 90.00
Fractional coordinates of all 6 atoms:
Au1 0.000 0.000 0.000
Bi1 0.750 0.250 0.500
Bi2 0.250 0.750 0.500
Ac1 0.500 0.500 0.000
Pt1 0.317 0.317 0.634
Pt2 0.683 0.683 0.366


Entry 2:
Material: AcBiRhAu
Method: DFT, PBE-GGA
State: optimized geometry

Computed properties:
The value obtained for the formation energy is -428.3 meV/atom. For the total energy, the calculation gives -20.33 eV/f.u. The symmetry is F-43m, No. 216.

abc: 5.194 5.194 5.194
angles: 60.00 60.00 60.00
Fractional coordinates of all 4 atoms:
Ac1 0.500 0.500 0.500
Bi1 0.000 0.000 0.000
Au1 0.750 0.750 0.750
Rh1 0.250 0.250 0.250


Entry 3:
Material: AcBiSbAu
Method: DFT, PBE-GGA
State: optimized geometry

Computed properties:
For the total energy, the calculation gives -17.32 eV/f.u. The symmetry is F-43m, No. 216. For the formation energy (no corrections), the calculation gives -483 meV per atom.

abc: 5.511 5.511 5.511
angles: 60.00 60.00 60.00
Fractional coordinates of all 4 atoms:
Sb1 0.500 0.500 0.500
Ac1 0.750 0.750 0.750
Bi1 0.250 0.250 0.250
Au1 0.000 0.000 0.000


Entry 4:
Material: Ac3BiSb2Au6
Method: DFT, PBE-GGA
State: optimized geometry

Computed properties:
For the total energy, the calculation gives -50.40 eV/f.u. The symmetry is P-3m1, No. 164. For the formation energy (no corrections), the calculation gives -524 meV per atom.

abc: 6.561 6.561 8.967
angles: 90.00 90.00 120.00
Fractional coordinates of all 12 atoms:
Sb1 0.333 0.667 0.014
Sb2 0.667 0.333 0.986
Au1 0.628 0.814 0.275
Au2 0.814 0.628 0.725
Au3 0.186 0.814 0.275
Au4 0.814 0.186 0.725
Au5 0.186 0.372 0.275
Au6 0.372 0.186 0.725
Ac1 0.333 0.667 0.633
Ac2 0.000 0.000 0.000
Ac3 0.667 0.333 0.367
Bi1 0.000 0.000 0.500


Entry 5:
Material: Ac2Si2BiAu6
Method: DFT, PBE-GGA
State: optimized geometry

Computed properties:
For the total energy, the calculation gives -46.34 eV/f.u. The symmetry is R-3m, No. 166. For the formation energy (no corrections), the calculation gives -339 meV per atom.

abc: 6.701 6.701 9.569
angles: 69.51 69.51 60.00
Fractional coordinates of all 11 atoms:
Au1 0.235 0.235 0.720
Au2 0.235 0.810 0.720
Au3 0.810 0.235 0.720
Au4 0.765 0.190 0.280
Au5 0.765 0.765 0.280
Au6 0.190 0.765 0.280
Ac1 0.204 0.204 0.389
Ac2 0.796 0.796 0.611
Si1 0.456 0.456 0.631
Si2 0.544 0.544 0.369
Bi1 0.000 0.000 0.000


Entry 6:
Material: AcSmBiAu
Method: DFT, PBE-GGA
State: optimized geometry

Computed properties:
The value obtained for the formation energy is -660.0 meV/atom. For the total energy, the calculation gives -18.63 eV/f.u. The symmetry is F-43m, No. 216.

abc: 5.571 5.571 5.571
angles: 60.00 60.00 60.00
Fractional coordinates of all 4 atoms:
Sm1 0.750 0.750 0.750
Ac1 0.250 0.250 0.250
Bi1 0.500 0.500 0.500
Au1 0.000 0.000 0.000


Entry 7:
Material: Ac3Sn2BiAu6
Method: DFT, PBE-GGA
State: optimized geometry

Computed properties:
The value obtained for the formation energy is -524.3 meV/atom. For the total energy, the calculation gives -50.17 eV/f.u. The symmetry is P-3m1, No. 164.

abc: 6.522 6.522 9.078
angles: 90.00 90.00 120.00
Fractional coordinates of all 12 atoms:
Sn1 0.333 0.667 0.021
Sn2 0.667 0.333 0.979
Au1 0.632 0.816 0.274
Au2 0.368 0.184 0.726
Au3 0.816 0.184 0.726
Au4 0.184 0.816 0.274
Au5 0.816 0.632 0.726
Au6 0.184 0.368 0.274
Ac1 0.333 0.667 0.635
Ac2 0.000 0.000 0.000
Ac3 0.667 0.333 0.365
Bi1 0.000 0.000 0.500


Entry 8:
Material: Ac2Sn3BiAu4
Method: DFT, PBE-GGA
State: optimized geometry

Computed properties:
The value obtained for the formation energy is -602.6 meV/atom. For the total energy, the calculation gives -43.24 eV/f.u. The symmetry is P-4m2, No. 115.

abc: 4.828 4.828 11.438
angles: 90.00 90.00 90.00
Fractional coordinates of all 10 atoms:
Sn1 0.500 0.000 0.877
Sn2 0.000 0.000 0.500
Sn3 0.000 0.500 0.123
Au1 0.000 0.000 0.000
Au2 0.500 0.500 0.000
Au3 0.500 0.000 0.644
Au4 0.000 0.500 0.356
Ac1 0.500 0.000 0.227
Ac2 0.000 0.500 0.773
Bi1 0.500 0.500 0.500